Record 1
First-principles (PBE) data for a geometry-optimized PrThTc4 structure, as listed in the Alexandria database.

```
data_PrThTc4
_cell_length_a 7.7862
_cell_length_b 7.7862
_cell_length_c 7.7862
_cell_angle_alpha 90.00
_cell_angle_beta 90.00
_cell_angle_gamma 90.00
_symmetry_space_group_name_H-M 'F -4 3 m'
_symmetry_Int_Tables_number 216
_symmetry_space_group_name_Hall 'F -4 2 3'
loop_
_atom_site_label
_atom_site_type_symbol
_atom_site_fract_x
_atom_site_fract_y
_atom_site_fract_z
Pr1 Pr 0.0000 0.0000 0.0000
Th1 Th 0.2500 0.2500 0.2500
Tc1 Tc 0.1250 0.1250 0.6250
```

## Properties
Raw total energy ... -8.919 eV/atom
Spin magnetization ... 0.007 μB/f.u.
Fermi-level density of states ... 2.08 states/eV per atom

=====

Record 2
First-principles (PBE) data for a geometry-optimized PrYThTc structure, as listed in the Alexandria database.

```
data_PrYThTc
_cell_length_a 3.5561
_cell_length_b 3.5561
_cell_length_c 8.7674
_cell_angle_alpha 90.00
_cell_angle_beta 90.00
_cell_angle_gamma 90.00
_symmetry_space_group_name_H-M 'P 4 m m'
_symmetry_Int_Tables_number 99
loop_
_symmetry_equiv_pos_as_xyz
'x,y,z'
'-y,x,z'
'-x,-y,z'
'y,-x,z'
'-x,y,z'
'y,x,z'
'x,-y,z'
'-y,-x,z'
loop_
_atom_site_label
_atom_site_type_symbol
_atom_site_fract_x
_atom_site_fract_y
_atom_site_fract_z
Pr1 Pr 0.0000 0.0000 0.0000
Y1 Y 0.5000 0.5000 0.6708
Th1 Th 0.5000 0.5000 0.2829
Tc1 Tc 0.0000 0.0000 0.4644
```

## Properties
Raw total energy ... -7.284 eV/atom
Spin magnetization ... 0.000 μB/f.u.
Fermi-level density of states ... 1.24 states/eV per atom

=====

Record 3
First-principles (PBE) data for a geometry-optimized PrThZnTc structure, as listed in the Alexandria database.

```
data_PrThZnTc
_cell_length_a 7.2465
_cell_length_b 7.2465
_cell_length_c 7.2465
_cell_angle_alpha 90.00
_cell_angle_beta 90.00
_cell_angle_gamma 90.00
_symmetry_space_group_name_H-M 'F -4 3 m'
_symmetry_Int_Tables_number 216
_symmetry_space_group_name_Hall 'F -4 2 3'
loop_
_atom_site_label
_atom_site_type_symbol
_atom_site_fract_x
_atom_site_fract_y
_atom_site_fract_z
Pr1 Pr 0.0000 0.0000 0.0000
Th1 Th 0.0000 0.0000 0.5000
Zn1 Zn 0.2500 0.2500 0.2500
Tc1 Tc 0.2500 0.2500 0.7500
```

## Properties
Raw total energy ... -5.991 eV/atom
Spin magnetization ... 0.000 μB/f.u.
Fermi-level density of states ... 1.45 states/eV per atom

=====

Record 4
First-principles (PBE) data for a geometry-optimized Pr2TlTc structure, as listed in the Alexandria database.

```
data_Pr2TlTc
_cell_length_a 3.5408
_cell_length_b 3.5408
_cell_length_c 8.6908
_cell_angle_alpha 90.00
_cell_angle_beta 90.00
_cell_angle_gamma 90.00
_symmetry_space_group_name_H-M 'P 4/m m m'
_symmetry_Int_Tables_number 123
_symmetry_space_group_name_Hall '-P 4 2'
loop_
_atom_site_label
_atom_site_type_symbol
_atom_site_fract_x
_atom_site_fract_y
_atom_site_fract_z
Pr1 Pr 0.0000 0.0000 0.2002
Tl1 Tl 0.5000 0.5000 0.5000
Tc1 Tc 0.5000 0.5000 0.0000
```

## Properties
Raw total energy ... -5.598 eV/atom
Spin magnetization ... 0.000 μB/f.u.
Fermi-level density of states ... 0.96 states/eV per atom

=====

Record 5
First-principles (PBE) data for a geometry-optimized Pr8Tl2Tc structure, as listed in the Alexandria database.

```
data_Pr8Tl2Tc
_cell_length_a 5.8075
_cell_length_b 7.1924
_cell_length_c 16.5182
_cell_angle_alpha 90.00
_cell_angle_beta 90.00
_cell_angle_gamma 90.00
_symmetry_space_group_name_H-M 'I m m m'
_symmetry_Int_Tables_number 71
_symmetry_space_group_name_Hall '-I 2 2'
loop_
_atom_site_label
_atom_site_type_symbol
_atom_site_fract_x
_atom_site_fract_y
_atom_site_fract_z
Pr1 Pr 0.0000 0.0000 0.1954
Pr2 Pr 0.0000 0.2365 0.3762
Pr3 Pr 0.0000 0.2459 0.0000
Tl1 Tl 0.0000 0.5000 0.1868
Tc1 Tc 0.0000 0.5000 0.5000
```

## Properties
Raw total energy ... -4.959 eV/atom
Spin magnetization ... 0.000 μB/f.u.
Fermi-level density of states ... 1.04 states/eV per atom

=====

Record 6
First-principles (PBE) data for a geometry-optimized Pr3TlTc structure, as listed in the Alexandria database.

```
data_Pr3TlTc
_cell_length_a 5.4587
_cell_length_b 5.4587
_cell_length_c 5.4587
_cell_angle_alpha 90.00
_cell_angle_beta 90.00
_cell_angle_gamma 90.00
_symmetry_space_group_name_H-M 'P m -3 m'
_symmetry_Int_Tables_number 221
_symmetry_space_group_name_Hall '-P 4 2 3'
loop_
_atom_site_label
_atom_site_type_symbol
_atom_site_fract_x
_atom_site_fract_y
_atom_site_fract_z
Pr1 Pr 0.0000 0.0000 0.5000
Tl1 Tl 0.5000 0.5000 0.5000
Tc1 Tc 0.0000 0.0000 0.0000
```

## Properties
Raw total energy ... -5.347 eV/atom
Spin magnetization ... 0.000 μB/f.u.
Fermi-level density of states ... 0.81 states/eV per atom

=====

Record 7
First-principles (PBE) data for a geometry-optimized PrTmTc structure, as listed in the Alexandria database.

```
data_PrTmTc
_cell_length_a 3.5006
_cell_length_b 3.5006
_cell_length_c 12.7520
_cell_angle_alpha 90.00
_cell_angle_beta 90.00
_cell_angle_gamma 90.00
_symmetry_space_group_name_H-M 'I 4 m m'
_symmetry_Int_Tables_number 107
_symmetry_space_group_name_Hall 'I 4 -2'
loop_
_atom_site_label
_atom_site_type_symbol
_atom_site_fract_x
_atom_site_fract_y
_atom_site_fract_z
Pr1 Pr 0.0000 0.0000 0.0000
Tm1 Tm 0.0000 0.0000 0.7409
Tc1 Tc 0.0000 0.0000 0.3620
```

## Properties
Raw total energy ... -6.501 eV/atom
Spin magnetization ... 0.000 μB/f.u.
Fermi-level density of states ... 1.38 states/eV per atom

=====

Record 8
First-principles (PBE) data for a geometry-optimized PrTmTc4 structure, as listed in the Alexandria database.

```
data_PrTmTc4
_cell_length_a 7.6992
_cell_length_b 7.6992
_cell_length_c 7.6992
_cell_angle_alpha 90.00
_cell_angle_beta 90.00
_cell_angle_gamma 90.00
_symmetry_space_group_name_H-M 'F -4 3 m'
_symmetry_Int_Tables_number 216
_symmetry_space_group_name_Hall 'F -4 2 3'
loop_
_atom_site_label
_atom_site_type_symbol
_atom_site_fract_x
_atom_site_fract_y
_atom_site_fract_z
Pr1 Pr 0.0000 0.0000 0.0000
Tm1 Tm 0.2500 0.2500 0.7500
Tc1 Tc 0.1248 0.1248 0.3752
```

## Properties
Raw total energy ... -8.483 eV/atom
Spin magnetization ... 0.017 μB/f.u.
Fermi-level density of states ... 1.56 states/eV per atom

=====

Record 9
First-principles (PBE) data for a geometry-optimized Pr2Tm8Tc structure, as listed in the Alexandria database.

```
data_Pr2Tm8Tc
_cell_length_a 18.0616
_cell_length_b 5.3984
_cell_length_c 6.7089
_cell_angle_alpha 90.00
_cell_angle_beta 95.13
_cell_angle_gamma 90.00
_symmetry_space_group_name_H-M 'C 1 2/m 1'
_symmetry_Int_Tables_number 12
loop_
_symmetry_equiv_pos_as_xyz
'x,y,z'
'-x,-y,-z'
'-x,y,-z'
'x,-y,z'
'x+1/2,y+1/2,z'
'-x+1/2,-y+1/2,-z'
'-x+1/2,y+1/2,-z'
'x+1/2,-y+1/2,z'
loop_
_atom_site_label
_atom_site_type_symbol
_atom_site_fract_x
_atom_site_fract_y
_atom_site_fract_z
Pr1 Pr 0.2212 0.0000 0.1648
Tm1 Tm 0.0295 0.0000 0.2696
Tm2 Tm 0.0824 0.5000 0.8803
Tm3 Tm 0.1402 0.5000 0.3887
Tm4 Tm 0.1617 0.0000 0.6617
Tc1 Tc 0.0000 0.5000 0.5000
```

## Properties
Raw total energy ... -5.052 eV/atom
Spin magnetization ... 0.000 μB/f.u.
Fermi-level density of states ... 1.41 states/eV per atom

=====

Record 10
First-principles (PBE) data for a geometry-optimized Pr2TmTc structure, as listed in the Alexandria database.

```
data_Pr2TmTc
_cell_length_a 4.9914
_cell_length_b 4.9914
_cell_length_c 14.9328
_cell_angle_alpha 90.00
_cell_angle_beta 90.00
_cell_angle_gamma 120.00
_symmetry_space_group_name_H-M 'R -3 m'
_symmetry_Int_Tables_number 166
_symmetry_space_group_name_Hall '-R 3 2"'
loop_
_atom_site_label
_atom_site_type_symbol
_atom_site_fract_x
_atom_site_fract_y
_atom_site_fract_z
Pr1 Pr 0.0000 0.0000 0.2342
Tm1 Tm 0.0000 0.0000 0.0000
Tc1 Tc 0.0000 0.0000 0.5000
```

## Properties
Raw total energy ... -5.793 eV/atom
Spin magnetization ... 0.000 μB/f.u.
Fermi-level density of states ... 1.01 states/eV per atom